Here is a geometry-optimized LiAgMo structure from Alexandria. Energies are from PBE.

abc: 2.665 2.665 13.486
angles: 90.00 90.00 90.00
Atoms (fractional coordinates):
Li1 0.000 0.000 0.000
Li2 0.500 0.500 0.500
Ag1 0.000 0.000 0.659
Ag2 0.500 0.500 0.159
Mo1 0.000 0.000 0.332
Mo2 0.500 0.500 0.832

Calculated values
Raw total energy (eV per formula unit): -14.6
Magnetization (μB/f.u.): 0.00
Calculated formation energy (eV/atom): 0.34

Here is a geometry-optimized LiAg2Mo structure from Alexandria. Energies are from PBE.

abc: 3.143 4.413 9.581
angles: 90.00 90.00 90.00
Atoms (fractional coordinates):
Li1 0.000 0.000 0.000
Li2 0.500 0.500 0.000
Ag1 0.000 0.000 0.499
Ag2 0.000 0.500 0.760
Ag3 0.500 0.000 0.760
Ag4 0.500 0.500 0.499
Mo1 0.000 0.500 0.246
Mo2 0.500 0.000 0.246

Calculated values
Raw total energy (eV per formula unit): -17.4
Magnetization (μB/f.u.): 0.00
Calculated formation energy (eV/atom): 0.26